1.
Density functional theory data (PBE-GGA) for a geometry-optimized Y2CuNi structure.

Calculated values
For the formation energy, the calculation gives -0.359 eV/atom. The calculation puts the size of the total moment at 0.001 μB per formula unit. As for the space group: No. 11. The total energy is -47.299 eV/cell.

Lattice parameters (Å, degrees): 5.4481 4.3646 7.4523 90.00 110.08 90.00
Last column: nearest neighbours and their distance in Å.
Element x y z (fractional)
Ni: 0.8585 0.7500 0.2150  2 Cu 2.63, 7 Y 2.84-2.95
Y: 0.2825 0.7500 0.0673  3 Cu 2.86-2.96, 4 Ni 2.88-2.95
Y: 0.7175 0.2500 0.9327  3 Cu 2.86-2.96, 4 Ni 2.88-2.95
Y: 0.7252 0.2500 0.4282  3 Ni 2.84-2.93, 4 Cu 2.84-2.96
Y: 0.2748 0.7500 0.5718  3 Ni 2.84-2.93, 4 Cu 2.84-2.96
Ni: 0.1415 0.2500 0.7850  2 Cu 2.63, 7 Y 2.84-2.95
Cu: 0.1467 0.2500 0.2856  2 Ni 2.63, 2 Y 2.84-2.86
Cu: 0.8533 0.7500 0.7144  2 Ni 2.63, 2 Y 2.84-2.86

***

2.
Density functional theory data (PBE-GGA) for a geometry-optimized Y2CuNi2 structure.

Calculated values
For the formation energy, the calculation gives 0.065 eV/atom. The calculation puts the size of the total moment at 0.003 μB per formula unit. As for the space group: No. 139. The total energy is -27.456 eV/cell.

Lattice parameters (Å, degrees): 6.9703 6.9703 6.9703 149.12 149.12 44.23
Last column: nearest neighbours and their distance in Å.
Element x y z (fractional)
Y: 0.6098 0.6098 0.0000  4 Ni 2.59, 1 Y 2.84
Cu: 0.0000 0.0000 0.0000  8 Y 2.98
Ni: 0.2500 0.7500 0.5000  4 Y 2.59, 4 Ni 2.62
Y: 0.3902 0.3902 0.0000  4 Ni 2.59, 1 Y 2.84
Ni: 0.7500 0.2500 0.5000  4 Y 2.59, 4 Ni 2.62

***

Q: Which value of size of the total moment does entry 1 give?
A: 0.001 μB per formula unit

***

Repeat the second record exactly.
Density functional theory data (PBE-GGA) for a geometry-optimized Y2CuNi2 structure.

Calculated values
For the formation energy, the calculation gives 0.065 eV/atom. The calculation puts the size of the total moment at 0.003 μB per formula unit. As for the space group: No. 139. The total energy is -27.456 eV/cell.

Lattice parameters (Å, degrees): 6.9703 6.9703 6.9703 149.12 149.12 44.23
Last column: nearest neighbours and their distance in Å.
Element x y z (fractional)
Y: 0.6098 0.6098 0.0000  4 Ni 2.59, 1 Y 2.84
Cu: 0.0000 0.0000 0.0000  8 Y 2.98
Ni: 0.2500 0.7500 0.5000  4 Y 2.59, 4 Ni 2.62
Y: 0.3902 0.3902 0.0000  4 Ni 2.59, 1 Y 2.84
Ni: 0.7500 0.2500 0.5000  4 Y 2.59, 4 Ni 2.62

***

Q: The highest size of the total moment belongs to which entry?
A: Y2CuNi2

***

Q: size of the total moment of number 2 (Y2CuNi2)?
A: 0.003 μB per formula unit